The following is a GGA-PBE calculation of crystalline Tl4InBi3 at its relaxed geometry, from the Alexandria database.

It has space group C2/m (No. 12), with a = 28.991 Å, b = 5.145 Å, c = 3.558 Å, α = 90.00°, β = 95.42° and γ = 90.00°. The asymmetric unit holds Tl at (0.100, 0.000, 0.091), Tl at (0.218, 0.000, 0.221), In at (0.000, 0.000, 0.500), Bi at (0.000, 0.500, 0.000) and Bi at (0.164, 0.500, 0.663).

The crystal system is monoclinic. Its total energy is -2.919 eV per atom. For the energy of formation from the pure elements, the calculation gives 0.062 eV per atom. The volume is 33.0 Å³/atom.